Ti3OsPt after structural relaxation, computed with GGA-PBE.

## Properties
As for the space group: No. 221. The total energy is -0.5412 Ry/atom. Its excess energy over the best structure of this formula in the dataset is 0.4054 eV per atom. The value obtained for the total magnetization is 0.00 μB per cell. The value obtained for the energy of formation is 0.828 eV/atom.

Structure (extended XYZ):
```
5
Lattice="4.675 0.000 0.000 0.000 4.675 0.000 0.000 0.000 4.675" Properties=species:S:1:pos:R:3 pbc="T T T"
Ti 0.000 0.000 2.337
Ti 0.000 2.337 0.000
Ti 2.337 0.000 0.000
Os 2.337 2.337 2.337
Pt 0.000 0.000 0.000
```

=====

RbTaBe after structural relaxation, computed with GGA-PBE.

## Properties
As for the space group: No. 129. The total energy is -0.3299 Ry/atom. Its excess energy over the best structure of this formula in the dataset is 0.5756 eV per atom. The value obtained for the total magnetization is 1.95 μB per cell. The value obtained for the energy of formation is 1.027 eV/atom.

Structure (extended XYZ):
```
6
Lattice="4.518 0.000 0.000 0.000 4.518 0.000 0.000 0.000 9.734" Properties=species:S:1:pos:R:3 pbc="T T T"
Rb 1.129 1.129 1.902
Rb 3.388 3.388 7.832
Ta 1.129 1.129 5.493
Ta 3.388 3.388 4.241
Be 1.129 3.388 4.867
Be 3.388 1.129 4.867
```

=====

YTmPa2S4 after structural relaxation, computed with GGA-PBE.

## Properties
The calculation puts the formation energy (no corrections) at -1.761 eV/atom. As for the space group: No. 10. The total energy is -0.5561 Ry/atom. The value obtained for the total magnetization is 0.00 μB per cell.

Structure (extended XYZ):
```
8
Lattice="6.532 0.000 0.000 0.000 3.767 0.000 -2.173 0.000 6.728" Properties=species:S:1:pos:R:3 pbc="T T T"
Y 0.000 0.000 0.000
Tm 3.266 1.883 0.000
Pa -1.086 1.883 3.364
Pa 2.180 0.000 3.364
S 1.108 1.883 1.628
S 0.024 0.000 5.114
S 4.336 0.000 1.614
S 3.251 1.883 5.100
```

=====

Tm3SbH2 after structural relaxation, computed with GGA-PBE.

## Properties
As for the space group: No. 12. The total energy is -0.3395 Ry/atom. The value obtained for the total magnetization is 0.00 μB per cell.

Structure (extended XYZ):
```
12
Lattice="10.740 -1.956 0.000 10.740 1.956 0.000 -1.515 0.000 5.823" Properties=species:S:1:pos:R:3 pbc="T T T"
Tm 0.466 0.000 1.620
Tm 4.619 0.000 1.219
Tm 8.370 0.000 0.863
Tm 11.595 0.000 4.960
Tm 15.347 0.000 4.604
Tm 19.499 0.000 4.202
Sb 6.603 0.000 3.450
Sb 13.363 0.000 2.373
H -0.150 0.000 5.408
H 4.785 0.000 5.723
H 15.180 0.000 0.100
H 20.116 0.000 0.415
```